(1)
A plane-wave DFT calculation with PBE was carried out for crystalline NdEr2Rh at its relaxed geometry.

Results
crystal system: trigonal
DFT formation energy: -8.69 kcal/mol of atoms
raw total energy: -5.688 eV/atom
relative energy among the computed polymorphs: 135 meV per atom
space-group type: R3m

abc: 3.875 3.875 9.297
angles: 77.97 77.97 60.00
Positions (direct):
Nd: 0.502 0.502 0.495
Er: 0.057 0.057 0.829
Er: 0.275 0.275 0.174
Rh: 0.666 0.666 0.002



(2)
A plane-wave DFT calculation with PBE was carried out for crystalline CeSnHgPt at its relaxed geometry.

Results
crystal system: cubic
DFT formation energy: -13.65 kcal/mol of atoms
raw total energy: -4.662 eV/atom
space-group type: F-43m

abc: 5.048 5.048 5.048
angles: 60.00 60.00 60.00
Last column: magnetic moment on the atom in μB.
Positions (direct):
Ce: 0.000 0.000 0.000  0.34
Hg: 0.250 0.250 0.250  -0.01
Pt: 0.750 0.750 0.750  -0.02
Sn: 0.500 0.500 0.500  0.00



(3)
A plane-wave DFT calculation with PBE was carried out for crystalline Sc5Ag6 at its relaxed geometry.

Results
crystal system: orthorhombic
DFT formation energy: -3.21 kcal/mol of atoms
raw total energy: -4.572 eV/atom
space-group type: Immm

abc: 4.798 6.723 8.233
angles: 114.10 106.94 90.00
Positions (direct):
Sc: 0.000 0.500 0.000
Sc: 0.664 0.664 0.327
Sc: 0.336 0.336 0.673
Sc: 0.314 0.814 0.629
Sc: 0.686 0.186 0.371
Ag: 0.500 0.775 0.000
Ag: 0.500 0.225 0.000
Ag: 0.851 0.072 0.703
Ag: 0.851 0.631 0.703
Ag: 0.149 0.928 0.297
Ag: 0.149 0.369 0.297